Material: SmScAlCd
Method: DFT, PBE
State: relaxed

Geometry as CIF:
```
data_SmScAlCd
_symmetry_space_group_name_H-M 'P 1'
_symmetry_Int_Tables_number 1
_symmetry_space_group_name_Hall 'P 1'
_cell_length_a 3.552
_cell_length_b 3.552
_cell_length_c 7.424
_cell_angle_alpha 90.00
_cell_angle_beta 90.00
_cell_angle_gamma 90.00
loop_
_atom_site_label
_atom_site_fract_x
_atom_site_fract_y
_atom_site_fract_z
Sc1 0.500 0.500 0.331
Cd1 0.000 0.000 0.103
Sm1 0.500 0.500 0.807
Al1 0.000 0.000 0.544
```

Calculated values
The energy of formation from the pure elements is -0.36 eV per atom. Its total moment is 0.0 μB per formula unit. The energy above the most stable polymorph in this dataset is 0.000 eV per atom.